Record 1
Entry from Alexandria: crystalline LaSm2DyHo2 at its relaxed geometry (GGA-PBE).

As for the mass density: 7.68 Mg/m³. As for the energy of formation from the pure elements: 0.265 eV per atom.

a b c (Å): 6.6581 17.8097 3.3968
angles (deg): 90.00 90.00 90.00
With the nearest neighbours (Å) after each atom.
Fractional positions:
1 La 0.0000 0.0000 0.0000  2 Sm 3.26, 2 La 3.40, 2 Ho 3.57
2 La 0.5000 0.5000 0.5000  2 Sm 3.26, 2 La 3.40, 2 Ho 3.57
3 Sm 0.2221 0.3492 0.5000  1 La 3.26, 4 Ho 3.34-3.44, 2 Sm 3.40, 2 Dy 3.50
4 Sm 0.2779 0.8492 0.0000  1 La 3.26, 4 Ho 3.34-3.44, 2 Sm 3.40, 2 Dy 3.50
5 Sm 0.7221 0.1508 0.0000  1 La 3.26, 4 Ho 3.34-3.44, 2 Sm 3.40, 2 Dy 3.50
6 Sm 0.7779 0.6508 0.5000  1 La 3.26, 4 Ho 3.34-3.44, 2 Sm 3.40, 2 Dy 3.50
7 Dy 0.0000 0.5000 0.0000  2 Dy 3.40, 4 Sm 3.50, 4 La 3.74
8 Dy 0.5000 0.0000 0.5000  2 Dy 3.40, 4 Sm 3.50, 4 La 3.74
9 Ho 0.2266 0.1814 0.0000  4 Sm 3.34-3.44, 2 Ho 3.40, 1 La 3.57
10 Ho 0.2734 0.6814 0.5000  4 Sm 3.34-3.44, 2 Ho 3.40, 1 La 3.57
11 Ho 0.7266 0.3186 0.5000  4 Sm 3.34-3.44, 2 Ho 3.40, 1 La 3.57
12 Ho 0.7734 0.8186 0.0000  4 Sm 3.34-3.44, 2 Ho 3.40, 1 La 3.57

=====

Record 2
Entry from Alexandria: crystalline La2SmDy2Ho2 at its relaxed geometry (GGA-PBE).

As for the mass density: 7.71 Mg/m³. As for the energy of formation from the pure elements: 0.030 eV per atom.

a b c (Å): 6.2496 6.2496 8.0959
angles (deg): 97.45 97.45 48.18
With the nearest neighbours (Å) after each atom.
Fractional positions:
1 La 0.1423 0.1423 0.4263  1 Sm 3.60, 5 Ho 3.60-3.65, 3 La 3.62-3.63, 3 Dy 3.63-3.66
2 La 0.8577 0.8577 0.5737  1 Sm 3.60, 5 Ho 3.60-3.65, 3 La 3.62-3.63, 3 Dy 3.63-3.66
3 Sm 0.0000 0.0000 0.0000  6 Dy 3.58-3.61, 4 Ho 3.59, 2 La 3.60
4 Dy 0.2841 0.2841 0.8615  2 Dy 3.55, 4 Ho 3.56-3.62, 3 Sm 3.58-3.61, 3 La 3.63-3.66
5 Dy 0.7159 0.7159 0.1385  2 Dy 3.55, 4 Ho 3.56-3.62, 3 Sm 3.58-3.61, 3 La 3.63-3.66
6 Ho 0.4293 0.4293 0.2814  4 Dy 3.56-3.62, 2 Sm 3.59, 5 La 3.60-3.65, 1 Ho 3.68
7 Ho 0.5707 0.5707 0.7186  4 Dy 3.56-3.62, 2 Sm 3.59, 5 La 3.60-3.65, 1 Ho 3.68

=====

Record 3
Entry from Alexandria: crystalline LaSm2DyHo at its relaxed geometry (GGA-PBE).

As for the mass density: 7.16 Mg/m³. As for the energy of formation from the pure elements: 0.266 eV per atom.

a b c (Å): 3.6558 5.6393 8.6295
angles (deg): 90.00 90.10 90.00
With the nearest neighbours (Å) after each atom.
Fractional positions:
1 La 0.0000 0.0000 0.0000  4 Dy 3.36, 2 La 3.66
2 Sm 0.0006 0.5000 0.3213  1 Sm 3.08, 2 Dy 3.32
3 Sm 0.9994 0.5000 0.6787  1 Sm 3.08, 2 Dy 3.32
4 Dy 0.5000 0.5000 0.0000  4 Sm 3.32, 4 La 3.36, 2 Dy 3.66
5 Ho 0.5000 0.0000 0.5000  2 Ho 3.66, 8 Sm 3.69-3.70

=====

Record 4
Entry from Alexandria: crystalline LaSm3Dy6Ho2 at its relaxed geometry (GGA-PBE).

As for the mass density: 8.10 Mg/m³. As for the energy of formation from the pure elements: 0.018 eV per atom.

a b c (Å): 6.1994 6.1994 11.8554
angles (deg): 94.99 94.99 119.98
With the nearest neighbours (Å) after each atom.
Fractional positions:
1 La 0.0000 0.0000 0.0000  6 Dy 3.58, 6 Ho 3.58
2 Sm 0.1670 0.8330 0.5000  6 Dy 3.57-3.58, 6 Sm 3.57-3.59
3 Sm 0.5000 0.5000 0.5000  6 Dy 3.57-3.58, 6 Sm 3.57-3.58
4 Sm 0.8330 0.1670 0.5000  6 Dy 3.57-3.58, 6 Sm 3.57-3.59
5 Dy 0.0840 0.4186 0.2499  3 Sm 3.57-3.58, 2 Ho 3.57, 6 Dy 3.57-3.59, 1 La 3.58
6 Dy 0.2508 0.2508 0.7500  6 Dy 3.57-3.59, 3 Sm 3.57-3.58, 2 Ho 3.58, 1 La 3.58
7 Dy 0.4186 0.0840 0.2499  3 Sm 3.57-3.58, 2 Ho 3.57, 6 Dy 3.57-3.59, 1 La 3.58
8 Dy 0.5814 0.9160 0.7501  3 Sm 3.57-3.58, 2 Ho 3.57, 6 Dy 3.57-3.59, 1 La 3.58
9 Dy 0.7492 0.7492 0.2500  6 Dy 3.57-3.59, 3 Sm 3.57-3.58, 2 Ho 3.58, 1 La 3.58
10 Dy 0.9160 0.5814 0.7501  3 Sm 3.57-3.58, 2 Ho 3.57, 6 Dy 3.57-3.59, 1 La 3.58
11 Ho 0.3333 0.6667 0.0000  6 Dy 3.57-3.58, 3 La 3.58, 3 Ho 3.58
12 Ho 0.6667 0.3333 0.0000  6 Dy 3.57-3.58, 3 La 3.58, 3 Ho 3.58

=====

Record 5
Entry from Alexandria: crystalline La5SmDy2Ho at its relaxed geometry (GGA-PBE).

As for the mass density: 6.88 Mg/m³. As for the energy of formation from the pure elements: 0.290 eV per atom.

a b c (Å): 9.7936 9.7936 9.7936
angles (deg): 121.90 121.90 86.74
With the nearest neighbours (Å) after each atom.
Fractional positions:
1 La 0.0000 0.0000 0.0000  2 Sm 3.56, 4 Dy 3.86, 8 La 3.93
2 La 0.0662 0.5662 0.9024  1 Ho 3.16, 1 Dy 3.20, 1 La 3.53
3 La 0.1638 0.0662 0.5000  1 Ho 3.16, 1 Dy 3.20, 1 La 3.53
4 La 0.3362 0.8362 0.9024  1 Ho 3.16, 1 Dy 3.20, 1 La 3.53
5 La 0.4338 0.3362 0.5000  1 Ho 3.16, 1 Dy 3.20, 1 La 3.53
6 La 0.5000 0.5000 0.0000  2 Sm 3.56, 4 Dy 3.86, 8 La 3.93
7 La 0.5662 0.6638 0.5000  1 Ho 3.16, 1 Dy 3.20, 1 La 3.53
8 La 0.6638 0.1638 0.0976  1 Ho 3.16, 1 Dy 3.20, 1 La 3.53
9 La 0.8362 0.9338 0.5000  1 Ho 3.16, 1 Dy 3.20, 1 La 3.53
10 La 0.9338 0.4338 0.0976  1 Ho 3.16, 1 Dy 3.20, 1 La 3.53
11 Sm 0.2500 0.2500 0.0000  10 La 3.56-3.80
12 Sm 0.7500 0.7500 0.0000  10 La 3.56-3.80
13 Dy 0.1085 0.3915 0.5000  1 Dy 2.92, 2 La 3.20
14 Dy 0.3915 0.8915 0.2830  1 Dy 2.92, 2 La 3.20
15 Dy 0.6085 0.1085 0.7170  1 Dy 2.92, 2 La 3.20
16 Dy 0.8915 0.6085 0.5000  1 Dy 2.92, 2 La 3.20
17 Ho 0.2500 0.7500 0.5000  4 La 3.16
18 Ho 0.7500 0.2500 0.5000  4 La 3.16

=====

Record 6
Entry from Alexandria: crystalline La2Sm6DyHo at its relaxed geometry (GGA-PBE).

As for the mass density: 7.32 Mg/m³. As for the energy of formation from the pure elements: 0.117 eV per atom.

a b c (Å): 8.8621 8.8621 10.0329
angles (deg): 95.23 95.23 118.07
With the nearest neighbours (Å) after each atom.
Fractional positions:
1 La 0.1920 0.2920 0.0405  5 Sm 3.29-3.57, 2 Ho 3.38-3.44, 1 Dy 3.62
2 La 0.2920 0.1920 0.5405  5 Sm 3.29-3.57, 2 Ho 3.38-3.44, 1 Dy 3.62
3 La 0.7080 0.8080 0.4595  5 Sm 3.29-3.57, 2 Ho 3.38-3.44, 1 Dy 3.62
4 La 0.8080 0.7080 0.9595  5 Sm 3.29-3.57, 2 Ho 3.38-3.44, 1 Dy 3.62
5 Sm 0.0212 0.5828 0.1895  4 Sm 3.33-3.69, 1 La 3.43, 1 Dy 3.48, 1 Ho 3.62
6 Sm 0.1241 0.7418 0.5568  8 Sm 3.45-3.85, 1 La 3.57, 1 Ho 3.65, 1 Dy 3.78
7 Sm 0.2582 0.8759 0.9432  8 Sm 3.45-3.85, 1 La 3.57, 1 Ho 3.65, 1 Dy 3.78
8 Sm 0.2936 0.4987 0.3785  3 La 3.29-3.52, 4 Sm 3.33-3.60, 2 Dy 3.47-3.68
9 Sm 0.4172 0.9788 0.3105  4 Sm 3.33-3.69, 1 La 3.43, 1 Dy 3.48, 1 Ho 3.62
10 Sm 0.4987 0.2936 0.8785  3 La 3.29-3.52, 4 Sm 3.33-3.60, 2 Dy 3.47-3.68
11 Sm 0.5013 0.7064 0.1215  3 La 3.29-3.52, 4 Sm 3.33-3.60, 2 Dy 3.47-3.68
12 Sm 0.5828 0.0212 0.6895  4 Sm 3.33-3.69, 1 La 3.43, 1 Dy 3.48, 1 Ho 3.62
13 Sm 0.7064 0.5013 0.6215  3 La 3.29-3.52, 4 Sm 3.33-3.60, 2 Dy 3.47-3.68
14 Sm 0.7418 0.1241 0.0568  8 Sm 3.45-3.85, 1 La 3.57, 1 Ho 3.65, 1 Dy 3.78
15 Sm 0.8759 0.2582 0.4432  8 Sm 3.45-3.85, 1 La 3.57, 1 Ho 3.65, 1 Dy 3.78
16 Sm 0.9788 0.4172 0.8105  4 Sm 3.33-3.69, 1 La 3.43, 1 Dy 3.48, 1 Ho 3.62
17 Dy 0.4048 0.5952 0.7500  8 Sm 3.47-3.78, 2 La 3.62
18 Dy 0.5952 0.4048 0.2500  8 Sm 3.47-3.78, 2 La 3.62
19 Ho 0.0126 0.9874 0.2500  4 La 3.38-3.44, 4 Sm 3.62-3.65
20 Ho 0.9874 0.0126 0.7500  4 La 3.38-3.44, 4 Sm 3.62-3.65

=====

Record 7
Entry from Alexandria: crystalline LaTb2Dy6Ho3 at its relaxed geometry (GGA-PBE).

As for the mass density: 8.37 Mg/m³. As for the energy of formation from the pure elements: 0.020 eV per atom.

a b c (Å): 6.1624 6.1624 11.7986
angles (deg): 94.98 94.98 119.97
With the nearest neighbours (Å) after each atom.
Fractional positions:
1 La 0.0000 0.0000 0.0000  6 Tb 3.56, 6 Dy 3.59
2 Tb 0.3334 0.6666 0.0000  3 Tb 3.56, 3 La 3.56, 6 Dy 3.58-3.59
3 Tb 0.6666 0.3334 0.0000  3 Tb 3.56, 3 La 3.56, 6 Dy 3.58-3.59
4 Dy 0.0851 0.4196 0.2532  3 Ho 3.52-3.53, 6 Dy 3.55-3.57, 2 Tb 3.58-3.59, 1 La 3.59
5 Dy 0.2494 0.2494 0.7467  3 Ho 3.52-3.53, 6 Dy 3.55-3.57, 2 Tb 3.59, 1 La 3.59
6 Dy 0.4196 0.0851 0.2532  3 Ho 3.52-3.53, 6 Dy 3.55-3.57, 2 Tb 3.58-3.59, 1 La 3.59
7 Dy 0.5804 0.9149 0.7468  3 Ho 3.52-3.53, 6 Dy 3.55-3.57, 2 Tb 3.58-3.59, 1 La 3.59
8 Dy 0.7506 0.7506 0.2533  3 Ho 3.52-3.53, 6 Dy 3.55-3.57, 2 Tb 3.59, 1 La 3.59
9 Dy 0.9149 0.5804 0.7468  3 Ho 3.52-3.53, 6 Dy 3.55-3.57, 2 Tb 3.58-3.59, 1 La 3.59
10 Ho 0.1670 0.8330 0.5000  6 Dy 3.52-3.53, 6 Ho 3.55-3.56
11 Ho 0.5000 0.5000 0.5000  6 Dy 3.52-3.53, 6 Ho 3.55-3.56
12 Ho 0.8330 0.1670 0.5000  6 Dy 3.52-3.53, 6 Ho 3.55-3.56

=====

Record 8
Entry from Alexandria: crystalline LaTb2Dy6Ho at its relaxed geometry (GGA-PBE).

As for the mass density: 8.13 Mg/m³. As for the energy of formation from the pure elements: 0.120 eV per atom.

a b c (Å): 8.8106 8.8106 9.5487
angles (deg): 93.35 93.35 117.67
With the nearest neighbours (Å) after each atom.
Fractional positions:
1 La 0.0273 0.9727 0.7500  4 Tb 3.38-3.47, 4 Dy 3.59-3.74
2 La 0.9727 0.0273 0.2500  4 Tb 3.38-3.47, 4 Dy 3.59-3.74
3 Tb 0.1988 0.3043 0.5480  6 Dy 3.27-3.56, 2 La 3.38-3.47, 1 Ho 3.54
4 Tb 0.3043 0.1988 0.0480  6 Dy 3.27-3.56, 2 La 3.38-3.47, 1 Ho 3.54
5 Tb 0.6957 0.8012 0.9520  6 Dy 3.27-3.56, 2 La 3.38-3.47, 1 Ho 3.54
6 Tb 0.8012 0.6957 0.4520  6 Dy 3.27-3.56, 2 La 3.38-3.47, 1 Ho 3.54
7 Dy 0.0169 0.5627 0.6821  3 Dy 3.22-3.55, 2 Tb 3.42-3.56, 1 Ho 3.47, 1 La 3.59
8 Dy 0.1243 0.7486 0.0577  7 Dy 3.41-3.73, 1 Tb 3.53, 1 La 3.74
9 Dy 0.2514 0.8757 0.4423  7 Dy 3.41-3.73, 1 Tb 3.53, 1 La 3.74
10 Dy 0.2924 0.5102 0.8826  4 Dy 3.22-3.49, 3 Tb 3.27-3.44, 2 Ho 3.42-3.53
11 Dy 0.4373 0.9831 0.8179  3 Dy 3.22-3.55, 2 Tb 3.42-3.56, 1 Ho 3.47, 1 La 3.59
12 Dy 0.4898 0.7076 0.6174  4 Dy 3.22-3.49, 3 Tb 3.27-3.44, 2 Ho 3.42-3.53
13 Dy 0.5102 0.2924 0.3826  4 Dy 3.22-3.49, 3 Tb 3.27-3.44, 2 Ho 3.42-3.53
14 Dy 0.5627 0.0169 0.1821  3 Dy 3.22-3.55, 2 Tb 3.42-3.56, 1 Ho 3.47, 1 La 3.59
15 Dy 0.7076 0.4898 0.1174  4 Dy 3.22-3.49, 3 Tb 3.27-3.44, 2 Ho 3.42-3.53
16 Dy 0.7486 0.1243 0.5577  7 Dy 3.41-3.73, 1 Tb 3.53, 1 La 3.74
17 Dy 0.8757 0.2514 0.9423  7 Dy 3.41-3.73, 1 Tb 3.53, 1 La 3.74
18 Dy 0.9831 0.4373 0.3179  3 Dy 3.22-3.55, 2 Tb 3.42-3.56, 1 Ho 3.47, 1 La 3.59
19 Ho 0.4097 0.5903 0.2500  8 Dy 3.42-3.83, 2 Tb 3.54
20 Ho 0.5903 0.4097 0.7500  8 Dy 3.42-3.83, 2 Tb 3.54